VASP calculation (PBE) on ErB4Ir6 after structural relaxation.

a b c (Å): 6.130 6.130 6.130
angles (deg): 126.93 126.93 78.36
Fractional positions:
Er 0.000 0.000 0.000
B 0.206 0.206 0.625
B 0.419 0.794 0.000
B 0.581 0.581 0.375
B 0.794 0.419 0.000
Ir 0.000 0.500 0.500
Ir 0.122 0.472 0.000
Ir 0.472 0.122 0.000
Ir 0.500 0.000 0.500
Ir 0.528 0.528 0.650
Ir 0.878 0.878 0.350

Summary:
D(E_F): 0.507 states/eV per atom
Total magnetization: 0.00 μB per cell
Density: 15.9 g/cm³
Formation energy: -23.6 kJ per mole of atoms

***

VASP calculation (PBE) on InBRhF2 after structural relaxation.

a b c (Å): 3.979 3.979 5.193
angles (deg): 90.00 90.00 90.00
Fractional positions:
In 0.000 0.000 0.000
B 0.000 0.000 0.500
Rh 0.500 0.500 0.500
F 0.000 0.500 0.000
F 0.500 0.000 0.000

Summary:
ΔE_f (raw): 0.045 eV/atom
D(E_F): 0.952 states/eV per atom
Total magnetization: 0.00 μB per cell
Density: 5.4 g/cm³

***

VASP calculation (PBE) on Pr3Mg5H12 after structural relaxation.

a b c (Å): 10.895 10.895 10.895
angles (deg): 109.47 109.47 109.47
Fractional positions:
Pr 0.125 0.250 0.375
Pr 0.125 0.375 0.750
Pr 0.250 0.375 0.125
Pr 0.250 0.875 0.625
Pr 0.375 0.125 0.250
Pr 0.375 0.750 0.125
Pr 0.625 0.250 0.875
Pr 0.625 0.875 0.750
Pr 0.750 0.125 0.375
Pr 0.750 0.625 0.875
Pr 0.875 0.625 0.250
Pr 0.875 0.750 0.625
Mg 0.000 0.000 0.000
Mg 0.000 0.000 0.500
Mg 0.000 0.500 0.000
Mg 0.000 0.500 0.500
Mg 0.125 0.750 0.875
Mg 0.125 0.875 0.250
Mg 0.250 0.125 0.875
Mg 0.250 0.625 0.375
Mg 0.375 0.250 0.625
Mg 0.375 0.625 0.750
Mg 0.500 0.000 0.000
Mg 0.500 0.000 0.500
Mg 0.500 0.500 0.000
Mg 0.500 0.500 0.500
Mg 0.625 0.375 0.250
Mg 0.625 0.750 0.375
Mg 0.750 0.375 0.625
Mg 0.750 0.875 0.125
Mg 0.875 0.125 0.750
Mg 0.875 0.250 0.125
H 0.037 0.211 0.127
H 0.037 0.326 0.910
H 0.084 0.711 0.674
H 0.084 0.873 0.410
H 0.090 0.627 0.416
H 0.090 0.963 0.674
H 0.127 0.037 0.211
H 0.127 0.590 0.916
H 0.174 0.211 0.584
H 0.174 0.463 0.590
H 0.211 0.127 0.037
H 0.211 0.584 0.174
H 0.289 0.326 0.916
H 0.289 0.463 0.373
H 0.326 0.910 0.037
H 0.326 0.916 0.289
H 0.373 0.289 0.463
H 0.373 0.584 0.910
H 0.410 0.084 0.873
H 0.410 0.826 0.537
H 0.416 0.090 0.627
H 0.416 0.826 0.789
H 0.463 0.373 0.289
H 0.463 0.590 0.174
H 0.537 0.410 0.826
H 0.537 0.627 0.711
H 0.584 0.174 0.211
H 0.584 0.910 0.373
H 0.590 0.174 0.463
H 0.590 0.916 0.127
H 0.627 0.416 0.090
H 0.627 0.711 0.537
H 0.674 0.084 0.711
H 0.674 0.090 0.963
H 0.711 0.537 0.627
H 0.711 0.674 0.084
H 0.789 0.416 0.826
H 0.789 0.873 0.963
H 0.826 0.537 0.410
H 0.826 0.789 0.416
H 0.873 0.410 0.084
H 0.873 0.963 0.789
H 0.910 0.037 0.326
H 0.910 0.373 0.584
H 0.916 0.127 0.590
H 0.916 0.289 0.326
H 0.963 0.674 0.090
H 0.963 0.789 0.873

Summary:
D(E_F): 0.295 states/eV per atom
Total magnetization: 0.00 μB per cell
Energy: -3.38 eV/atom
Density: 3.7 g/cm³

***

VASP calculation (PBE) on LaHo2TlHg4 after structural relaxation.

a b c (Å): 9.852 9.852 9.852
angles (deg): 30.29 30.29 30.29
Fractional positions:
La 0.000 0.000 0.000
Ho 0.236 0.236 0.236
Ho 0.764 0.764 0.764
Tl 0.500 0.500 0.500
Hg 0.120 0.120 0.120
Hg 0.381 0.381 0.381
Hg 0.619 0.619 0.619
Hg 0.880 0.880 0.880

Summary:
D(E_F): 0.736 states/eV per atom
Total magnetization: 0.00 μB per cell
Density: 11.4 g/cm³
Formation energy: -35.3 kJ per mole of atoms

***

VASP calculation (PBE) on CsGaI2Cl after structural relaxation.

a b c (Å): 5.900 5.900 5.352
angles (deg): 90.00 90.00 90.00
Fractional positions:
Cs 0.000 0.000 0.000
Ga 0.500 0.500 0.500
I 0.000 0.500 0.500
I 0.500 0.000 0.500
Cl 0.500 0.500 0.000

Summary:
ΔE_f (raw): -1.001 eV/atom
D(E_F): 0.262 states/eV per atom
Total magnetization: 0.00 μB per cell
Density: 4.4 g/cm³

***

VASP calculation (PBE) on BaTl2ZnAs2 after structural relaxation.

a b c (Å): 4.363 10.796 7.881
angles (deg): 90.00 90.00 90.00
Fractional positions:
Ba 0.000 0.042 0.000
Ba 0.000 0.958 0.500
Tl 0.000 0.341 0.322
Tl 0.000 0.659 0.822
Tl 0.500 0.402 0.947
Tl 0.500 0.598 0.447
Zn 0.500 0.215 0.585
Zn 0.500 0.785 0.085
As 0.000 0.268 0.721
As 0.000 0.732 0.221
As 0.500 0.141 0.286
As 0.500 0.859 0.786

Summary:
D(E_F): 0.012 states/eV per atom
Total magnetization: 0.00 μB per cell
Density: 6.8 g/cm³
Formation energy: -38.7 kJ per mole of atoms

***

Which of these has the lowest D(E_F)?
BaTl2ZnAs2

***

Number 6 is which compound?
BaTl2ZnAs2